Here is Hg3BPt6 after structural relaxation from Alexandria via LeMat-Bulk. Energies are from PBE.

Cell: 5.212 5.212 7.051 Å, 90.00 90.00 120.00°
Sites, in units of the cell vectors:
Hg 0.000 0.000 0.500
Hg 0.667 0.333 0.500
Hg 0.333 0.667 0.500
B 0.000 0.000 0.000
Pt 0.658 0.658 0.833
Pt 0.000 0.342 0.833
Pt 0.342 0.000 0.833
Pt 0.000 0.658 0.167
Pt 0.342 0.342 0.167
Pt 0.658 0.000 0.167

* space-group type: P-31m

=====

Here is HgBPt3 after structural relaxation from Alexandria via LeMat-Bulk. Energies are from PBE.

Cell: 11.459 7.554 7.554 Å, 98.82 131.71 48.29°
Sites, in units of the cell vectors:
B 0.473 0.197 0.641
B 0.027 0.141 0.697
B 0.527 0.803 0.359
B 0.973 0.859 0.303
Hg 0.750 0.004 0.504
Hg 0.250 0.996 0.496
Hg 0.750 0.516 0.016
Hg 0.250 0.484 0.984
Pt 0.271 0.601 0.383
Pt 0.229 0.883 0.101
Pt 0.729 0.399 0.617
Pt 0.771 0.117 0.899
Pt 0.248 0.244 0.241
Pt 0.252 0.741 0.744
Pt 0.752 0.756 0.759
Pt 0.748 0.259 0.256
Pt 0.649 0.979 0.035
Pt 0.851 0.535 0.479
Pt 0.351 0.021 0.965
Pt 0.149 0.465 0.521

* space-group type: C2/c
* energy above the most stable polymorph in this dataset: 0.35 eV per formula unit

=====

Here is HgBPt3 after structural relaxation from Alexandria via LeMat-Bulk. Energies are from PBE.

Cell: 7.882 7.882 7.882 Å, 60.00 60.00 60.00°
Sites, in units of the cell vectors:
B 0.125 0.125 0.125
B 0.125 0.625 0.125
B 0.625 0.125 0.125
B 0.125 0.125 0.625
Hg 0.625 0.625 0.625
Hg 0.625 0.125 0.625
Hg 0.125 0.625 0.625
Hg 0.625 0.625 0.125
Pt 0.802 0.198 0.198
Pt 0.052 0.448 0.448
Pt 0.448 0.448 0.052
Pt 0.448 0.052 0.052
Pt 0.052 0.448 0.052
Pt 0.802 0.198 0.802
Pt 0.448 0.052 0.448
Pt 0.052 0.052 0.448
Pt 0.198 0.802 0.198
Pt 0.198 0.802 0.802
Pt 0.198 0.198 0.802
Pt 0.802 0.802 0.198

* space-group type: Fd-3m
* energy above the most stable polymorph in this dataset: 0.09 eV per formula unit

=====

Here is HgB2Pt4 after structural relaxation from Alexandria via LeMat-Bulk. Energies are from PBE.

Cell: 3.264 4.686 7.716 Å, 108.52 90.00 90.00°
Sites, in units of the cell vectors:
B 0.000 0.500 0.500
B 0.500 0.000 0.500
Hg 0.000 0.000 0.000
Pt 0.500 0.279 0.318
Pt 0.500 0.721 0.682
Pt 0.000 0.224 0.682
Pt 0.000 0.776 0.318

* space-group type: P2/m

=====

Here is HgBPt3 after structural relaxation from Alexandria via LeMat-Bulk. Energies are from PBE.

Cell: 4.313 4.313 4.313 Å, 97.45 97.45 97.45°
Sites, in units of the cell vectors:
B 0.823 0.823 0.823
Hg 0.249 0.249 0.249
Pt 0.754 0.294 0.754
Pt 0.294 0.754 0.754
Pt 0.754 0.754 0.294

* space-group type: R3m
* energy above the most stable polymorph in this dataset: 0.56 eV per formula unit

=====

Here is Hg3BPt after structural relaxation from Alexandria via LeMat-Bulk. Energies are from PBE.

Cell: 4.560 4.560 4.560 Å, 90.00 90.00 90.00°
Sites, in units of the cell vectors:
B 0.000 0.000 0.000
Hg 0.000 0.500 0.000
Hg 0.000 0.000 0.500
Hg 0.500 0.000 0.000
Pt 0.500 0.500 0.500

* space-group type: Pm-3m
* energy above the most stable polymorph in this dataset: 0.00 eV per formula unit

=====

The records above give, respectively, energy of formation from the pure elements values of -10 -139 -192 -60 -98 730 meV per atom.